1.
DFT (meta-GGA SCAN) results for a crystal of Li5VO4F relaxed with PBEsol.

The space group is P2_1 (No. 4) and the conventional cell measures 5.119, 8.785 and 5.180 Å, with angles of 90.00, 112.26 and 90.00 degrees. Symmetry generates all atoms from Li at (0.165, 0.000, 0.010), Li at (0.180, 0.286, 0.911), Li at (0.224, 0.183, 0.407), Li at (0.292, 0.814, 0.505), Li at (0.313, 0.697, 0.053), V at (0.256, 0.515, 0.590), O at (0.037, 0.981, 0.312), O at (0.105, 0.631, 0.284), O at (0.433, 0.336, 0.683), O at (0.482, 0.148, 0.194) and F at (0.032, 0.820, 0.818).

For the total energy, the calculation gives -7.737 eV/atom. The calculation puts the energy above the most stable polymorph in this dataset at 1 meV per atom.

=====

2.
DFT (meta-GGA SCAN) results for a crystal of Li4VO3F2 relaxed with PBEsol.

The space group is C2/c (No. 15) and the conventional cell measures 8.883, 5.725 and 7.876 Å, with angles of 90.00, 99.19 and 90.00 degrees. Symmetry generates all atoms from Li at (0.090, 0.163, 0.440), Li at (0.194, 0.328, 0.138), V at (0.000, 0.330, 0.750), O at (0.000, 0.360, 0.250), O at (0.094, 0.177, 0.930) and F at (0.195, 0.328, 0.648).

For the total energy, the calculation gives -7.976 eV/atom. The calculation puts the energy above the most stable polymorph in this dataset at 22 meV per atom.

=====

3.
DFT (meta-GGA SCAN) results for a crystal of LiV2OF5 relaxed with PBEsol.

The space group is P3_121 (No. 152) and the conventional cell measures 5.0897, 5.0897 and 13.4949 Å, with angles of 90.00, 90.00 and 120.00 degrees. Symmetry generates all atoms from Li at (0.0000, 0.3053, 0.1667), V at (0.0076, 0.3192, 0.4205), O at (0.0000, 0.9138, 0.1667), F at (0.0000, 0.7102, 0.6667), F at (0.0744, 0.6862, 0.9870) and F at (0.3123, 0.6325, 0.8261).

For the total energy, the calculation gives -9.905 eV/atom. The calculation puts the energy above the most stable polymorph in this dataset at 43 meV per atom.

=====

4.
DFT (meta-GGA SCAN) results for a crystal of Li2VOF4 relaxed with PBEsol.

The space group is P2_12_12_1 (No. 19) and the conventional cell measures 5.068, 6.849 and 9.591 Å, with angles of 90.00, 90.00 and 90.00 degrees. Symmetry generates all atoms from Li at (0.029, 0.224, 0.219), Li at (0.038, 0.087, 0.917), V at (0.006, 0.565, 0.938), O at (0.234, 0.034, 0.112), F at (0.064, 0.017, 0.366), F at (0.130, 0.328, 0.532), F at (0.142, 0.644, 0.762) and F at (0.232, 0.339, 0.928).

For the total energy, the calculation gives -8.363 eV/atom. The calculation puts the energy above the most stable polymorph in this dataset at 16 meV per atom.

=====

Look up the energy above the most stable polymorph in this dataset of the third one. 43 meV per atom

=====

The highest energy above the most stable polymorph in this dataset belongs to which entry? LiV2OF5

=====

What is the formula in the third record? LiV2OF5

=====

Copy entry 4 word for word.
DFT (meta-GGA SCAN) results for a crystal of Li2VOF4 relaxed with PBEsol.

The space group is P2_12_12_1 (No. 19) and the conventional cell measures 5.068, 6.849 and 9.591 Å, with angles of 90.00, 90.00 and 90.00 degrees. Symmetry generates all atoms from Li at (0.029, 0.224, 0.219), Li at (0.038, 0.087, 0.917), V at (0.006, 0.565, 0.938), O at (0.234, 0.034, 0.112), F at (0.064, 0.017, 0.366), F at (0.130, 0.328, 0.532), F at (0.142, 0.644, 0.762) and F at (0.232, 0.339, 0.928).

For the total energy, the calculation gives -8.363 eV/atom. The calculation puts the energy above the most stable polymorph in this dataset at 16 meV per atom.